Compound: BeCrRe4
Source: the Alexandria database
Functional: PBE
Structure: optimized geometry

Computed properties:
- crystal system = cubic
- SG = No. 216
- N(E_F) (states/eV/cell) = 3.4
- DFT formation energy (eV per atom) = 0.633
- calculated density (g cm⁻³) = 14.14

Cell and atoms, written as extended XYZ:
```
6
Lattice="0.000 3.617 3.617 3.617 0.000 3.617 3.617 3.617 0.000" Properties=species:S:1:pos:R:3 pbc="T T T"
Be 0.000 0.000 0.000
Cr 5.426 5.426 5.426
Re 2.710 2.710 2.710
Re 4.525 4.525 2.710
Re 4.525 2.710 4.525
Re 2.710 4.525 4.525
```